# Ag2OsW (PBE-GGA, relaxed)
data_Ag2OsW
_space_group_name_H-M_alt 'C m m 2'
_space_group_IT_number 35
_cell_length_a 2.9475
_cell_length_b 4.6537
_cell_length_c 9.7144
_cell_angle_alpha 90.00
_cell_angle_beta 90.00
_cell_angle_gamma 90.00
loop_
_space_group_symop_operation_xyz
'x,y,z'
'-x,-y,z'
'-x,y,z'
'x,-y,z'
'x+1/2,y+1/2,z'
'-x+1/2,-y+1/2,z'
'-x+1/2,y+1/2,z'
'x+1/2,-y+1/2,z'
loop_
_atom_site_label
_atom_site_type_symbol
_atom_site_fract_x
_atom_site_fract_y
_atom_site_fract_z
_atom_site_occupancy
Ag1 Ag 0.0000 0.0000 0.0000 1
Ag2 Ag 0.0000 0.5000 0.2573 1
Os1 Os 0.0000 0.0000 0.5168 1
W1 W 0.0000 0.5000 0.7383 1
# D(E_F) (states/eV/atom): 0.70
# E_form (kJ/mol of atoms): 40
# Energy (eV/cell): -56.4

=====

# AgOs2W (PBE-GGA, relaxed)
data_AgOs2W
_space_group_name_H-M_alt 'P 4/m m m'
_space_group_IT_number 123
_space_group_name_Hall '-P 4 2'
_cell_length_a 4.0169
_cell_length_b 4.0169
_cell_length_c 3.7928
_cell_angle_alpha 90.00
_cell_angle_beta 90.00
_cell_angle_gamma 90.00
loop_
_atom_site_label
_atom_site_type_symbol
_atom_site_fract_x
_atom_site_fract_y
_atom_site_fract_z
_atom_site_occupancy
Ag1 Ag 0.0000 0.0000 0.0000 1
Os1 Os 0.0000 0.5000 0.5000 1
W1 W 0.5000 0.5000 0.0000 1
# D(E_F) (states/eV/atom): 1.00
# E_form (kJ/mol of atoms): 56
# Energy (eV/cell): -35.9

=====

- Which formula does entry 1 have?
  Ag2OsW